Record 1
KFePt4 | PBE | relaxed

Cell lengths 5.3749, 5.3749, 5.3749 Å; angles 60.00, 60.00, 60.00 degrees
With the nearest neighbours (Å) after each atom.
Sites, in units of the cell vectors:
K1 0.0000 0.0000 0.0000  12 Pt 3.15, 4 Fe 3.29
Fe1 0.7500 0.7500 0.7500  12 Pt 3.15, 4 K 3.29
Pt1 0.8743 0.3752 0.3752  6 Pt 2.68-2.69
Pt2 0.3752 0.3752 0.8743  6 Pt 2.68-2.69
Pt3 0.3752 0.8743 0.3752  6 Pt 2.68-2.69
Pt4 0.3752 0.3752 0.3752  6 Pt 2.68-2.69

Record 2
TaCu3Au | PBE | relaxed

Values from the calculation:
- Distance to the lowest polymorph of the same formula: 0.1741 eV/atom

Cell lengths 4.7537, 4.7537, 4.7537 Å; angles 90.00, 90.00, 90.00 degrees
With the nearest neighbours (Å) after each atom.
Sites, in units of the cell vectors:
Au1 0.5000 0.5000 0.5000  12 Cu 3.36
Cu1 0.0000 0.5000 0.0000  2 Ta 2.38
Cu2 0.0000 0.0000 0.5000  2 Ta 2.38
Cu3 0.5000 0.0000 0.0000  2 Ta 2.38
Ta1 0.0000 0.0000 0.0000  6 Cu 2.38

Record 3
HoEr5Mg4 | PBE | relaxed

Cell lengths 3.6140, 3.6140, 21.1962 Å; angles 90.00, 90.00, 90.00 degrees
With the nearest neighbours (Å) after each atom.
Sites, in units of the cell vectors:
Ho1 0.0000 0.0000 0.0000  8 Er 3.51, 4 Ho 3.61
Er1 0.5000 0.5000 0.1135  4 Mg 3.32, 4 Ho 3.51, 4 Er 3.61
Er2 0.5000 0.5000 0.3111  8 Mg 3.24-3.29, 4 Er 3.61
Er3 0.5000 0.5000 0.5000  8 Mg 3.25, 4 Er 3.61
Er4 0.5000 0.5000 0.6889  8 Mg 3.24-3.29, 4 Er 3.61
Er5 0.5000 0.5000 0.8865  4 Mg 3.32, 4 Ho 3.51, 4 Er 3.61
Mg1 0.0000 0.0000 0.2137  8 Er 3.29-3.32, 4 Mg 3.61
Mg2 0.0000 0.0000 0.4052  8 Er 3.24-3.25, 4 Mg 3.61
Mg3 0.0000 0.0000 0.5948  8 Er 3.24-3.25, 4 Mg 3.61
Mg4 0.0000 0.0000 0.7863  8 Er 3.29-3.32, 4 Mg 3.61

no.,ΔH_f (0 K) (eV per atom),DFT total energy (eV/atom)
1,0.152,-5.469
2,1.518,-3.966
3,-0.039,-3.416